This record from Alexandria describes a PBEsol-optimized structure of Sr3MnRu. The functional is meta-GGA SCAN.

The value obtained for the energy of formation is 0.524 eV/atom. For the total energy, the calculation gives -117.29 eV per cell. The calculation puts the density of states at the Fermi level at 3.8 states/eV/cell.

The space group is Pm-3m (No. 221) and the conventional cell measures 5.564, 5.564 and 5.564 Å, with angles of 90.00, 90.00 and 90.00 degrees. The inequivalent atoms are Sr at (0.000, 0.000, 0.500), Mn at (0.500, 0.500, 0.500) and Ru at (0.000, 0.000, 0.000).